Compound: Pr5Y12Ho2
Source: the Alexandria database
Functional: PBE-GGA
Structure: optimized geometry

Output
DFT total energy: -5.615 eV per atom
crystal system: monoclinic
energy above the most stable polymorph in this dataset: 124.1 meV/atom
total magnetic moment: 0.0 μB/f.u.
formation energy: 207 meV/atom
V: 649 Å³/cell

a b c (Å): 10.073 10.073 8.747
angles (deg): 112.87 112.87 54.41
Positions (direct):
Pr 0.000 0.000 0.000
Pr 0.237 0.237 0.796
Pr 0.288 0.288 0.276
Pr 0.712 0.712 0.724
Pr 0.763 0.763 0.204
Y 0.039 0.671 0.591
Y 0.046 0.046 0.682
Y 0.151 0.596 0.045
Y 0.329 0.961 0.409
Y 0.404 0.849 0.955
Y 0.438 0.438 0.780
Y 0.562 0.562 0.220
Y 0.596 0.151 0.045
Y 0.671 0.039 0.591
Y 0.849 0.404 0.955
Y 0.954 0.954 0.318
Y 0.961 0.329 0.409
Ho 0.328 0.672 0.500
Ho 0.672 0.328 0.500